# 1
{"formula": "RbMnPtAu2", "functional": "PBE", "state": "relaxed", "ef_mev_per_atom": 2062, "crystal_system": "tetragonal", "cell": [[5.4725, 0.0000, 0.0000], [0.0000, 5.4076, 0.0000], [0.0000, 0.0000, 5.4725]], "species": ["Mn", "Pt", "Rb", "Au", "Au"], "fractional_positions": [[0.0000, 0.5000, 0.0000], [0.5000, 0.5000, 0.5000], [0.0000, 0.0000, 0.0000], [0.0000, 0.0000, 0.5000], [0.5000, 0.0000, 0.0000]]}



# 2
{"formula": "CaCS3", "functional": "PBE", "state": "relaxed", "raw_formation_energy_kj_per_mol_fu": 128, "crystal_system": "cubic", "e_above_lowest_polymorph_ev_per_fu": 0.00, "cell": [[4.3103, 0.0000, 0.0000], [0.0000, 4.3103, 0.0000], [0.0000, 0.0000, 4.3103]], "species": ["S", "S", "S", "Ca", "C"], "fractional_positions": [[0.0000, 0.0000, 0.5000], [0.0000, 0.5000, 0.0000], [0.5000, 0.0000, 0.0000], [0.5000, 0.5000, 0.5000], [0.0000, 0.0000, 0.0000]]}



# 3
{"formula": "BaSrBr2", "functional": "PBE", "state": "relaxed", "raw_formation_energy_kj_per_mol_fu": -564, "crystal_system": "trigonal", "e_above_lowest_polymorph_ev_per_fu": 0.16, "cell": [[2.7375, 0.0000, 9.9997], [-1.3688, 2.3708, 9.9997], [-1.3688, -2.3708, 9.9997]], "species": ["Ba", "Br", "Br", "Sr"], "fractional_positions": [[0.5000, 0.5000, 0.5000], [0.8925, 0.8925, 0.8925], [0.1075, 0.1075, 0.1075], [0.0000, 0.0000, 0.0000]]}



# 4
{"formula": "CaEr3Pt", "functional": "PBE", "state": "relaxed", "ef_mev_per_atom": -402, "crystal_system": "cubic", "cell": [[5.4817, 0.0000, 0.0000], [0.0000, 5.4817, 0.0000], [0.0000, 0.0000, 5.4817]], "species": ["Er", "Er", "Er", "Pt", "Ca"], "fractional_positions": [[0.5000, 0.0000, 0.0000], [0.0000, 0.0000, 0.5000], [0.0000, 0.5000, 0.0000], [0.0000, 0.0000, 0.0000], [0.5000, 0.5000, 0.5000]]}



# 5
{"formula": "HfZrSb4", "functional": "PBE", "state": "relaxed", "raw_formation_energy_kj_per_mol_fu": -41, "crystal_system": "monoclinic", "cell": [[7.1071, 0.0000, 0.0596], [0.0000, 7.1132, 0.0000], [-0.0450, 0.0000, 7.1154]], "species": ["Zr", "Zr", "Sb", "Sb", "Sb", "Sb", "Sb", "Sb", "Sb", "Sb", "Hf", "Hf"], "fractional_positions": [[0.5000, 0.5000, 0.0000], [0.0000, 0.0000, 0.0000], [0.1166, 0.3833, 0.8806], [0.3818, 0.3814, 0.3841], [0.3834, 0.8833, 0.1194], [0.8834, 0.6167, 0.1194], [0.6166, 0.1167, 0.8806], [0.6182, 0.6186, 0.6159], [0.8818, 0.1186, 0.3841], [0.1182, 0.8814, 0.6159], [0.0000, 0.5000, 0.5000], [0.5000, 0.0000, 0.5000]]}



# 6
{"formula": "LaPd4", "functional": "PBE", "state": "relaxed", "ef_mev_per_atom": -615, "crystal_system": "orthorhombic", "cell": [[-0.2985, -0.7800, -4.3751], [-2.4828, -5.2479, 1.1050], [-4.9842, 6.0091, 1.5359]], "species": ["La", "La", "Pd", "Pd", "Pd", "Pd", "Pd", "Pd", "Pd", "Pd"], "fractional_positions": [[0.8919, 0.1419, 0.7838], [0.1081, 0.8581, 0.2162], [0.3046, 0.3239, 0.6091], [0.1117, 0.3617, 0.2234], [0.5000, 0.5000, 0.0000], [0.3046, 0.7853, 0.6091], [0.6954, 0.6761, 0.3909], [0.6954, 0.2147, 0.3909], [0.5000, 0.0000, 0.0000], [0.8883, 0.6383, 0.7766]]}



# 7
{"formula": "GeP2N", "functional": "PBE", "state": "relaxed", "raw_formation_energy_kj_per_mol_fu": 542, "crystal_system": "cubic", "e_above_lowest_polymorph_ev_per_fu": 4.86, "cell": [[-0.1101, -1.2329, 4.0507], [-0.6270, 2.8541, 3.0661], [-3.6605, 0.0502, 2.1303]], "species": ["P", "P", "Ge", "N"], "fractional_positions": [[0.2500, 0.2500, 0.2500], [0.7500, 0.7500, 0.7500], [0.5000, 0.5000, 0.5000], [0.0000, 0.0000, 0.0000]]}



# 8
{"formula": "Mg6Si6Ni", "functional": "PBE", "state": "relaxed", "raw_formation_energy_kj_per_mol_fu": 241, "crystal_system": "hexagonal", "e_above_lowest_polymorph_ev_per_fu": 0.00, "cell": [[-3.1358, 1.2887, -3.9127], [-1.5742, -3.4094, 3.5639], [-3.7257, 7.3836, 5.4179]], "species": ["Mg", "Mg", "Mg", "Mg", "Mg", "Mg", "Si", "Si", "Si", "Si", "Si", "Si", "Ni"], "fractional_positions": [[0.3333, 0.6667, 0.0000], [0.0000, 0.0000, 0.6507], [0.3333, 0.6667, 0.5000], [0.6667, 0.3333, 0.5000], [0.0000, 0.0000, 0.3493], [0.6667, 0.3333, 0.0000], [0.5000, 0.0000, 0.7594], [0.5000, 0.5000, 0.2406], [0.5000, 0.5000, 0.7594], [0.5000, 0.0000, 0.2406], [0.0000, 0.5000, 0.2406], [0.0000, 0.5000, 0.7594], [0.0000, 0.0000, 0.0000]]}



# 9
{"formula": "Sr2AlN", "functional": "PBE", "state": "relaxed", "raw_formation_energy_kj_per_mol_fu": -54, "crystal_system": "trigonal", "e_above_lowest_polymorph_ev_per_fu": 0.00, "cell": [[-2.8754, 1.0330, 2.1109], [-3.4427, -0.0658, -1.3908], [-3.1444, -8.6918, 3.2368]], "species": ["Al", "N", "Sr", "Sr"], "fractional_positions": [[0.0000, 0.0000, 0.0000], [0.5000, 0.5000, 0.5000], [0.1179, 0.1179, 0.6462], [0.8821, 0.8821, 0.3538]]}



# 10
{"formula": "NiRhIN2", "functional": "PBE", "state": "relaxed", "raw_formation_energy_kj_per_mol_fu": 687, "crystal_system": "tetragonal", "e_above_lowest_polymorph_ev_per_fu": 1.32, "cell": [[3.6199, 0.0000, 0.0000], [0.0000, 3.6199, 0.0000], [0.0000, 0.0000, 7.5611]], "species": ["I", "N", "N", "Rh", "Ni"], "fractional_positions": [[0.0000, 0.0000, 0.5000], [0.0000, 0.5000, 0.0000], [0.5000, 0.0000, 0.0000], [0.5000, 0.5000, 0.5000], [0.0000, 0.0000, 0.0000]]}



# 11
{"formula": "MnRe4W", "functional": "PBE", "state": "relaxed", "ef_mev_per_atom": 336, "crystal_system": "cubic", "cell": [[-1.3350, -4.8991, 0.7741], [-4.7350, -1.1450, 1.6284], [-3.3250, -2.2884, -3.1765]], "species": ["Re", "Re", "Re", "Re", "Mn", "W"], "fractional_positions": [[0.1218, 0.6261, 0.6261], [0.6261, 0.6261, 0.6261], [0.6261, 0.6261, 0.1218], [0.6261, 0.1218, 0.6261], [0.0000, 0.0000, 0.0000], [0.2500, 0.2500, 0.2500]]}



# 12
{"formula": "CoIrCl2", "functional": "PBE", "state": "relaxed", "raw_formation_energy_kj_per_mol_fu": 256, "crystal_system": "monoclinic", "e_above_lowest_polymorph_ev_per_fu": 2.30, "cell": [[3.9799, 0.0000, 0.0000], [0.0000, 3.1194, -0.0199], [0.0000, -0.4904, 5.1756]], "species": ["Ir", "Cl", "Cl", "Co"], "fractional_positions": [[0.5000, 0.7500, 0.7500], [0.0000, 0.9841, 0.0022], [0.0000, 0.5159, 0.4978], [0.5000, 0.2500, 0.2500]]}



# 13
{"formula": "Zn2BI", "functional": "PBE", "state": "relaxed", "raw_formation_energy_kj_per_mol_fu": 509, "crystal_system": "cubic", "e_above_lowest_polymorph_ev_per_fu": 3.33, "cell": [[3.9138, -2.0587, 1.8541], [0.2672, -0.8300, 4.7153], [-0.2124, -4.4940, 1.6592]], "species": ["Zn", "Zn", "B", "I"], "fractional_positions": [[0.7500, 0.7500, 0.7500], [0.2500, 0.2500, 0.2500], [0.0000, 0.0000, 0.0000], [0.5000, 0.5000, 0.5000]]}



# 14
{"formula": "NdAl2Ge2", "functional": "PBE", "state": "relaxed", "ef_mev_per_atom": -353, "crystal_system": "orthorhombic", "e_above_lowest_polymorph_ev_per_fu": 0.45, "cell": [[-1.6228, -3.7457, 0.4936], [6.5315, -3.6109, -5.9281], [6.7442, -1.7983, 8.5261]], "species": ["Al", "Al", "Al", "Al", "Al", "Al", "Al", "Al", "Ge", "Ge", "Ge", "Ge", "Ge", "Ge", "Ge", "Ge", "Nd", "Nd", "Nd", "Nd"], "fractional_positions": [[0.2500, 0.0733, 0.5413], [0.7500, 0.4267, 0.0413], [0.7500, 0.9330, 0.9008], [0.7500, 0.4330, 0.5992], [0.7500, 0.9267, 0.4587], [0.2500, 0.5670, 0.4008], [0.2500, 0.5733, 0.9587], [0.2500, 0.0670, 0.0992], [0.7500, 0.5473, 0.8092], [0.7500, 0.1733, 0.0073], [0.2500, 0.9527, 0.3092], [0.7500, 0.6733, 0.4927], [0.2500, 0.4527, 0.1908], [0.2500, 0.3267, 0.5073], [0.2500, 0.8267, 0.9927], [0.7500, 0.0473, 0.6908], [0.2500, 0.2804, 0.7999], [0.7500, 0.7196, 0.2001], [0.2500, 0.7804, 0.7001], [0.7500, 0.2196, 0.2999]]}



# 15
{"formula": "Tl2BiP2", "functional": "PBE", "state": "relaxed", "ef_mev_per_atom": 131, "crystal_system": "tetragonal", "e_above_lowest_polymorph_ev_per_fu": 0.00, "cell": [[-2.6708, 0.1285, -2.0246], [0.6197, -3.1355, -1.0165], [-7.7156, -5.6027, 7.0447]], "species": ["Tl", "Tl", "Bi", "P", "P"], "fractional_positions": [[0.3776, 0.3776, 0.2447], [0.6224, 0.6224, 0.7553], [0.0000, 0.0000, 0.0000], [0.2500, 0.7500, 0.5000], [0.7500, 0.2500, 0.5000]]}



# 16
{"formula": "K2LaRu", "functional": "PBE", "state": "relaxed", "ef_mev_per_atom": 726, "crystal_system": "orthorhombic", "e_above_lowest_polymorph_ev_per_fu": 2.00, "cell": [[-5.9499, -4.0578, 0.8967], [4.3169, 1.2233, -5.7044], [1.0080, -3.9054, -1.5567]], "species": ["K", "K", "Ru", "La"], "fractional_positions": [[0.0000, 0.0000, 0.0000], [0.5000, 0.5000, 0.0000], [0.0000, 0.5000, 0.5000], [0.5000, 0.0000, 0.5000]]}



# 17
{"formula": "CoAs2Se", "functional": "PBE", "state": "relaxed", "raw_formation_energy_kj_per_mol_fu": 15, "crystal_system": "tetragonal", "cell": [[2.7609, 0.0117, 0.0000], [-0.0116, 2.7609, 0.0000], [0.0000, 0.0000, 10.3879]], "species": ["As", "As", "Se", "Co"], "fractional_positions": [[0.0000, 0.0000, 0.4049], [0.0000, 0.0000, 0.0951], [0.5000, 0.5000, 0.7500], [0.5000, 0.5000, 0.2500]]}



# 18
{"formula": "Tb4PbSeS2", "functional": "PBE", "state": "relaxed", "raw_formation_energy_kj_per_mol_fu": -1190, "crystal_system": "monoclinic", "cell": [[-3.8324, -0.9413, 0.7226], [1.8028, -6.9707, 0.4816], [1.6481, -1.4822, 6.8108]], "species": ["Tb", "Tb", "Tb", "Tb", "Se", "Pb", "S", "S"], "fractional_positions": [[0.0000, 0.2203, 0.2709], [0.5000, 0.7713, 0.2491], [0.0000, 0.7797, 0.7291], [0.5000, 0.2287, 0.7509], [0.0000, 0.5000, 0.5000], [0.5000, 0.5000, 0.0000], [0.0000, 0.0000, 0.0000], [0.5000, 0.0000, 0.5000]]}



# 19
{"formula": "Cr3Fe2H4", "functional": "PBE", "state": "relaxed", "crystal_system": "monoclinic", "final_energy_ev_per_atom": -6.560, "cell": [[-1.1469, -0.7242, -2.2344], [2.6019, -0.1024, 0.2274], [-0.7291, -10.0180, 3.5972]], "species": ["Cr", "Cr", "Cr", "H", "H", "H", "H", "Fe", "Fe"], "fractional_positions": [[0.0000, 0.0000, 0.0000], [0.3359, 0.6641, 0.5973], [0.6641, 0.3359, 0.4027], [0.3339, 0.6661, 0.8942], [0.6661, 0.3339, 0.1058], [0.9982, 0.0018, 0.3013], [0.0018, 0.9982, 0.6987], [0.6676, 0.3324, 0.7983], [0.3324, 0.6676, 0.2017]]}



# 20
{"formula": "Ti2Zn3Au3", "functional": "PBE", "state": "relaxed", "ef_mev_per_atom": -301, "crystal_system": "trigonal", "cell": [[4.3191, 0.0000, 1.3017], [1.9634, 3.8470, 1.3017], [-0.0054, -0.0033, 7.8346]], "species": ["Au", "Au", "Au", "Zn", "Zn", "Zn", "Ti", "Ti"], "fractional_positions": [[0.3714, 0.3714, 0.8858], [0.1253, 0.1253, 0.6242], [0.8791, 0.8791, 0.3627], [0.7489, 0.7489, 0.7533], [0.2501, 0.2501, 0.2496], [0.6247, 0.6247, 0.1260], [0.0006, 0.0006, 0.9983], [0.5000, 0.5000, 0.5001]]}



# 21
{"formula": "Ce4Si3SnRh12", "functional": "PBE", "state": "relaxed", "raw_formation_energy_kj_per_mol_fu": -814, "crystal_system": "cubic", "cell": [[7.9471, 0.0000, 0.0000], [-2.6490, 7.4926, 0.0000], [-2.6490, -3.7463, 6.4888]], "species": ["Si", "Si", "Si", "Rh", "Rh", "Rh", "Rh", "Rh", "Rh", "Rh", "Rh", "Rh", "Rh", "Rh", "Rh", "Sn", "Ce", "Ce", "Ce", "Ce"], "fractional_positions": [[0.5000, 0.5000, 0.0000], [0.5000, 0.0000, 0.5000], [0.0000, 0.5000, 0.5000], [0.7500, 0.2500, 0.5000], [0.0000, 0.7347, 0.7347], [0.2500, 0.7500, 0.5000], [0.2653, 0.0000, 0.2653], [0.5000, 0.2500, 0.7500], [0.5000, 0.7500, 0.2500], [0.7347, 0.7347, 0.0000], [0.2500, 0.5000, 0.7500], [0.7347, 0.0000, 0.7347], [0.2653, 0.2653, 0.0000], [0.7500, 0.5000, 0.2500], [0.0000, 0.2653, 0.2653], [0.0000, 0.0000, 0.0000], [0.5000, 0.0000, 0.0000], [0.0000, 0.0000, 0.5000], [0.5000, 0.5000, 0.5000], [0.0000, 0.5000, 0.0000]]}



# 22
{"formula": "TaSb2TeI", "functional": "PBE", "state": "relaxed", "raw_formation_energy_kj_per_mol_fu": 784, "crystal_system": "tetragonal", "e_above_lowest_polymorph_ev_per_fu": 7.03, "cell": [[-1.2868, -5.5694, 0.2011], [5.4534, -1.3009, -1.1326], [1.1258, -0.0618, 5.4915]], "species": ["Sb", "Sb", "Ta", "I", "Te"], "fractional_positions": [[0.0000, 0.5000, 0.0000], [0.5000, 0.0000, 0.0000], [0.5000, 0.5000, 0.5000], [0.0000, 0.0000, 0.5000], [0.0000, 0.0000, 0.0000]]}



# 23
{"formula": "ErScFeCu", "functional": "PBE", "state": "relaxed", "ef_mev_per_atom": -92, "crystal_system": "cubic", "cell": [[4.6259, 0.0000, 0.0000], [2.3130, 4.0062, 0.0000], [2.3130, 1.3354, 3.7771]], "species": ["Cu", "Er", "Fe", "Sc"], "fractional_positions": [[0.5000, 0.5000, 0.5000], [0.7500, 0.7500, 0.7500], [0.0000, 0.0000, 0.0000], [0.2500, 0.2500, 0.2500]]}



# 24
{"formula": "AlOsCl", "functional": "PBE", "state": "relaxed", "raw_formation_energy_kj_per_mol_fu": -16, "crystal_system": "trigonal", "e_above_lowest_polymorph_ev_per_fu": 0.00, "cell": [[-2.4644, 0.1799, 1.6331], [2.6397, -0.2330, 1.3231], [0.6088, 7.4528, 0.0977]], "species": ["Al", "Os", "Cl"], "fractional_positions": [[0.0000, 0.0000, 0.0047], [0.3333, 0.6667, 0.7642], [0.6667, 0.3333, 0.2311]]}



# 25
{"formula": "CdHgW2", "functional": "PBE", "state": "relaxed", "ef_mev_per_atom": 849, "crystal_system": "tetragonal", "e_above_lowest_polymorph_ev_per_fu": 1.67, "cell": [[-0.9347, 2.2471, 4.3917], [1.2793, -3.2208, 3.6333], [2.5849, 1.6009, -3.9957]], "species": ["Cd", "Hg", "W", "W"], "fractional_positions": [[0.5000, 0.5000, 0.0000], [0.7500, 0.2500, 0.5000], [0.2500, 0.7500, 0.5000], [0.0000, 0.0000, 0.0000]]}



# 26
{"formula": "Tb4Er2TmSc", "functional": "PBE", "state": "relaxed", "ef_mev_per_atom": 31, "crystal_system": "tetragonal", "cell": [[4.9635, 0.0000, 0.0000], [0.0000, 4.8888, 0.8584], [0.0000, 3.1854, 10.5509]], "species": ["Tb", "Tb", "Tb", "Tb", "Er", "Er", "Sc", "Tm"], "fractional_positions": [[0.0000, 0.7465, 0.7544], [0.5000, 0.2471, 0.7536], [0.0000, 0.2535, 0.2456], [0.5000, 0.7529, 0.2464], [0.0000, 0.0000, 0.0000], [0.5000, 0.0000, 0.5000], [0.5000, 0.5000, 0.0000], [0.0000, 0.5000, 0.5000]]}



Summary of total moment in μB per atom
0.851; 0.000; 0.000; 0.003; 0.000; 0.000; 0.175; 0.000; 0.000; 0.061; 0.417; 0.479; 0.000; 0.000; 0.000; 0.000; 0.154; 0.000; 0.091; 0.000; 0.187; 0.429; 0.000; 0.000; 0.000; 0.000
(order as listed above)